1.
Below is a geometry-optimized NbTeO5 structure, with properties calculated at the PBE level.

Output
SG: No. 1
Total moment in Bohr magnetons per cell: 0.00
E_form (uncorrected) in eV/atom: -1.671
Volume in Å³/f.u.: 91.8

a b c (Å): 4.9510 5.6061 7.6135
angles (deg): 113.55 96.64 103.12
Closest atoms and distances in Å follow each position.
Fractional coordinates of all 14 atoms:
O: 0.2410 0.8556 0.1087  1 Te 1.92, 1 Nb 1.94
O: 0.0449 0.8328 0.7421  2 Nb 1.93-1.99
O: 0.6506 0.6343 0.9678  1 Te 1.98
O: 0.8380 0.3135 0.6560  1 Te 1.92, 1 Nb 1.93
O: 0.8016 0.6113 0.3213  1 Te 1.91, 1 Nb 2.00
O: 0.2407 0.3664 0.1051  1 Nb 1.93, 1 Te 1.99
O: 0.3887 0.8570 0.4591  2 Te 1.94-2.10
O: 0.6633 0.0899 0.8906  1 Te 1.93, 1 Nb 1.95
O: 0.8072 0.0849 0.2667  1 Te 2.00, 2 Nb 2.16-2.19
O: 0.3364 0.4272 0.5295  1 Nb 1.82
Nb: 0.9801 0.0024 0.0035  4 O 1.93-1.95
Nb: 0.9929 0.4907 0.5022  4 O 1.82-2.00
Te: 0.5226 0.7363 0.2172  6 O 1.91-2.00
Te: 0.4792 0.2152 0.7212  3 O 1.92-2.10



2.
Below is a geometry-optimized YMo2Rh structure, with properties calculated at the PBE level.

Output
SG: No. 123
Total moment in Bohr magnetons per cell: 0.00
Volume in Å³/f.u.: 70.1
Energy relative to the elements in eV per atom: 0.469
Offset from the most stable computed form in meV per atom: 503

a b c (Å): 4.6992 4.6992 3.1744
angles (deg): 90.00 90.00 90.00
Closest atoms and distances in Å follow each position.
Fractional coordinates of all 4 atoms:
Mo: 0.5000 0.5000 0.0000  4 Rh 2.84, 4 Y 2.84, 2 Mo 3.17
Mo: 0.0000 0.0000 0.0000  4 Rh 2.84, 4 Y 2.84, 2 Mo 3.17
Rh: 0.5000 0.0000 0.5000  8 Mo 2.84, 2 Rh 3.17
Y: 0.0000 0.5000 0.5000  8 Mo 2.84, 2 Y 3.17



3.
Below is a geometry-optimized La3PrPt4 structure, with properties calculated at the PBE level.

Output
SG: No. 221
Total moment in Bohr magnetons per cell: 0.00
Volume in Å³/f.u.: 216.6
Energy relative to the elements in eV per atom: -1.136

a b c (Å): 6.0060 6.0060 6.0060
angles (deg): 90.00 90.00 90.00
Closest atoms and distances in Å follow each position.
Fractional coordinates of all 8 atoms:
La: 0.0000 0.5000 0.5000  6 Pt 3.00
La: 0.5000 0.5000 0.0000  6 Pt 3.00
La: 0.5000 0.0000 0.5000  6 Pt 3.00
Pt: 0.5000 0.5000 0.5000  6 La 3.00
Pt: 0.0000 0.5000 0.0000  4 La 3.00, 2 Pr 3.00
Pt: 0.0000 0.0000 0.5000  4 La 3.00, 2 Pr 3.00
Pt: 0.5000 0.0000 0.0000  4 La 3.00, 2 Pr 3.00
Pr: 0.0000 0.0000 0.0000  6 Pt 3.00



4.
Below is a geometry-optimized NiHg2P structure, with properties calculated at the PBE level.

Output
SG: No. 44
Total moment in Bohr magnetons per cell: 0.00
Volume in Å³/f.u.: 77.7
Energy relative to the elements in eV per atom: 0.144

a b c (Å): 6.4099 6.4099 6.4099
angles (deg): 154.15 137.21 50.67
Closest atoms and distances in Å follow each position.
Fractional coordinates of all 4 atoms:
Hg: 0.3077 0.8077 0.5000  4 Hg 2.87-3.19, 2 Ni 2.91, 4 P 3.17
Hg: 0.9946 0.9946 0.0000  4 Ni 2.77, 2 Hg 2.87
P: 0.6711 0.1711 0.5000  2 Ni 2.20
Ni: 0.5265 0.5265 0.0000  2 P 2.20



5.
Below is a geometry-optimized VTe4 structure, with properties calculated at the PBE level.

Output
SG: No. 125
Total moment in Bohr magnetons per cell: 2.21
E_form (uncorrected) in eV/atom: -0.142
Volume in Å³/f.u.: 152.4

a b c (Å): 7.6501 6.3112 6.3112
angles (deg): 90.00 90.00 90.00
Closest atoms and distances in Å follow each position.
Fractional coordinates of all 10 atoms:
Te: 0.7871 0.8370 0.6630  2 V 2.87, 1 Te 2.91
Te: 0.2129 0.1630 0.6630  2 V 2.87, 1 Te 2.91
Te: 0.2129 0.6630 0.8370  2 V 2.87, 1 Te 2.91
Te: 0.7871 0.1630 0.3370  2 V 2.87, 1 Te 2.91
Te: 0.7871 0.6630 0.1630  2 V 2.87, 1 Te 2.91
Te: 0.7871 0.3370 0.8370  2 V 2.87, 1 Te 2.91
Te: 0.2129 0.3370 0.1630  2 V 2.87, 1 Te 2.91
Te: 0.2129 0.8370 0.3370  2 V 2.87, 1 Te 2.91
V: 0.0000 0.0000 0.0000  8 Te 2.87
V: 0.0000 0.5000 0.5000  8 Te 2.87



6.
Below is a geometry-optimized KRb2S8 structure, with properties calculated at the PBE level.

Output
SG: No. 2
Total moment in Bohr magnetons per cell: 1.07
E_form (uncorrected) in eV/atom: -0.492
Volume in Å³/f.u.: 363.8

a b c (Å): 7.7794 6.8995 11.1140
angles (deg): 98.26 136.18 102.04
Closest atoms and distances in Å follow each position.
Fractional coordinates of all 11 atoms:
S: 0.6723 0.6811 0.3204  2 S 1.99-2.04
S: 0.4693 0.3540 0.1948  1 S 1.99
S: 0.5307 0.6460 0.8052  1 S 1.99
S: 0.0661 0.6560 0.0254  1 S 1.98
S: 0.3277 0.3189 0.6796  2 S 1.99-2.04
S: 0.1721 0.1858 0.4252  1 S 2.04
S: 0.9339 0.3439 0.9746  1 S 1.98
S: 0.8279 0.8142 0.5748  1 S 2.04
Rb: 0.1926 0.6750 0.3833  7 S 3.31-3.59
Rb: 0.8074 0.3250 0.6167  7 S 3.31-3.59
K: 0.5000 0.0000 0.0000  4 S 3.19-3.33



7.
Below is a geometry-optimized MgVCu structure, with properties calculated at the PBE level.

Output
SG: No. 194
Total moment in Bohr magnetons per cell: 4.37
Volume in Å³/f.u.: 46.2
Energy relative to the elements in eV per atom: 0.542
Offset from the most stable computed form in meV per atom: 432

a b c (Å): 4.4894 4.4894 5.2973
angles (deg): 90.00 90.00 120.00
Closest atoms and distances in Å follow each position.
Fractional coordinates of all 6 atoms:
V: 0.3333 0.6667 0.7500  5 Mg 2.59-2.65
V: 0.6667 0.3333 0.2500  5 Mg 2.59-2.65
Cu: 0.0000 0.0000 0.5000  2 Cu 2.65, 6 Mg 2.91, 6 V 2.91
Cu: 0.0000 0.0000 0.0000  2 Cu 2.65, 6 Mg 2.91, 6 V 2.91
Mg: 0.6667 0.3333 0.7500  5 V 2.59-2.65
Mg: 0.3333 0.6667 0.2500  5 V 2.59-2.65



8.
Below is a geometry-optimized CdAgPtRh structure, with properties calculated at the PBE level.

Output
SG: No. 216
Total moment in Bohr magnetons per cell: 0.02
Volume in Å³/f.u.: 67.5
Energy relative to the elements in eV per atom: 0.050
Offset from the most stable computed form in meV per atom: 0

a b c (Å): 4.5700 4.5700 4.5700
angles (deg): 60.00 60.00 60.00
Closest atoms and distances in Å follow each position.
Fractional coordinates of all 4 atoms:
Ag: 0.5000 0.5000 0.5000  4 Pt 2.80, 4 Cd 2.80
Rh: 0.0000 0.0000 0.0000  4 Cd 2.80, 4 Pt 2.80
Cd: 0.2500 0.2500 0.2500  4 Rh 2.80, 4 Ag 2.80
Pt: 0.7500 0.7500 0.7500  4 Ag 2.80, 4 Rh 2.80